An optimized crystal structure of CaCd2Ge, computed with PBE.

Calculated values
- Energy of formation from the pure elements: -95 kJ/mol of formula units
- Density of states at the Fermi level: 2.31 states/eV/cell
- Total magnetic moment: 0.00 μB per formula unit

abc: 4.7866 4.3987 4.3987
angles: 90.00 90.00 90.00
Sites, in units of the cell vectors:
Ca (0.5000, 0.0000, 0.0000)
Cd (0.0000, 0.0000, 0.5000)
Cd (0.0000, 0.5000, 0.0000)
Ge (0.5000, 0.5000, 0.5000)